(1)
DFT (PBE-GGA) results for a relaxed structure of La7NdCd4.

Values from the calculation:
Crystal system   monoclinic
Formation enthalpy at 0 K   -0.061 eV per atom
Symmetry   C2/m

Cell lengths 8.213, 8.213, 10.211 Å; angles 120.08, 120.08, 42.94 degrees
Atoms (fractional coordinates):
La (0.000, 0.000, 0.000)
La (0.237, 0.237, 0.693)
La (0.297, 0.297, 0.113)
La (0.433, 0.433, 0.594)
La (0.567, 0.567, 0.406)
La (0.703, 0.703, 0.887)
La (0.763, 0.763, 0.307)
Nd (0.500, 0.500, 0.000)
Cd (0.040, 0.040, 0.715)
Cd (0.183, 0.183, 0.346)
Cd (0.817, 0.817, 0.654)
Cd (0.960, 0.960, 0.285)

---

(2)
DFT (PBE-GGA) results for a relaxed structure of RbBiP2S8.

Values from the calculation:
E_tot   -51.8 eV per formula unit
Crystal system   trigonal
Symmetry   R-3

Cell lengths 10.491, 10.491, 10.491 Å; angles 34.22, 34.22, 34.22 degrees
Atoms (fractional coordinates):
Rb (0.000, 0.000, 0.000)
Bi (0.500, 0.500, 0.500)
P (0.242, 0.242, 0.242)
P (0.758, 0.758, 0.758)
S (0.076, 0.817, 0.440)
S (0.183, 0.560, 0.924)
S (0.310, 0.310, 0.310)
S (0.440, 0.076, 0.817)
S (0.560, 0.924, 0.183)
S (0.690, 0.690, 0.690)
S (0.817, 0.440, 0.076)
S (0.924, 0.183, 0.560)

---

(3)
DFT (PBE-GGA) results for a relaxed structure of TiMn2Ga2.

Values from the calculation:
Crystal system   tetragonal
Formation enthalpy at 0 K   -0.090 eV per atom
Symmetry   P4/mbm

Cell lengths 7.256, 7.256, 2.707 Å; angles 90.00, 90.00, 90.00 degrees
Atoms (fractional coordinates):
Ti (0.000, 0.000, 0.000)
Ti (0.500, 0.500, 0.000)
Mn (0.121, 0.379, 0.000)
Mn (0.379, 0.879, 0.000)
Mn (0.621, 0.121, 0.000)
Mn (0.879, 0.621, 0.000)
Ga (0.175, 0.675, 0.500)
Ga (0.325, 0.175, 0.500)
Ga (0.675, 0.825, 0.500)
Ga (0.825, 0.325, 0.500)

---

(4)
DFT (PBE-GGA) results for a relaxed structure of CaMg4Pd5.

Values from the calculation:
Crystal system   tetragonal
Formation enthalpy at 0 K   -0.700 eV per atom
Symmetry   P4/mmm

Cell lengths 3.244, 3.244, 16.398 Å; angles 90.00, 90.00, 90.00 degrees
Atoms (fractional coordinates):
Ca (0.000, 0.000, 0.000)
Mg (0.000, 0.000, 0.215)
Mg (0.000, 0.000, 0.405)
Mg (0.000, 0.000, 0.595)
Mg (0.000, 0.000, 0.785)
Pd (0.500, 0.500, 0.123)
Pd (0.500, 0.500, 0.311)
Pd (0.500, 0.500, 0.500)
Pd (0.500, 0.500, 0.689)
Pd (0.500, 0.500, 0.877)

---

(5)
DFT (PBE-GGA) results for a relaxed structure of LuTiZnPd.

Values from the calculation:
Crystal system   cubic
Formation enthalpy at 0 K   -0.390 eV per atom
Symmetry   F-43m

Cell lengths 4.705, 4.705, 4.705 Å; angles 60.00, 60.00, 60.00 degrees
Atoms (fractional coordinates):
Lu (0.000, 0.000, 0.000)
Ti (0.500, 0.500, 0.500)
Zn (0.750, 0.750, 0.750)
Pd (0.250, 0.250, 0.250)

---

(6)
DFT (PBE-GGA) results for a relaxed structure of Rb2U3CuO12.

Values from the calculation:
E_tot   -142.8 eV per formula unit
Crystal system   trigonal
Symmetry   R-3m

Cell lengths 7.457, 7.457, 7.457 Å; angles 63.76, 63.76, 63.76 degrees
Atoms (fractional coordinates):
Rb (0.134, 0.134, 0.134)
Rb (0.866, 0.866, 0.866)
U (0.000, 0.500, 0.500)
U (0.500, 0.000, 0.500)
U (0.500, 0.500, 0.000)
Cu (0.500, 0.500, 0.500)
O (0.173, 0.173, 0.554)
O (0.173, 0.554, 0.173)
O (0.200, 0.557, 0.557)
O (0.443, 0.443, 0.800)
O (0.443, 0.800, 0.443)
O (0.446, 0.827, 0.827)
O (0.554, 0.173, 0.173)
O (0.557, 0.200, 0.557)
O (0.557, 0.557, 0.200)
O (0.800, 0.443, 0.443)
O (0.827, 0.446, 0.827)
O (0.827, 0.827, 0.446)

---

(7)
DFT (PBE-GGA) results for a relaxed structure of CdCu2Br.

Values from the calculation:
E_tot   -8.5 eV per formula unit
Crystal system   cubic
Symmetry   F-43m

Cell lengths 4.793, 4.793, 4.793 Å; angles 60.00, 60.00, 60.00 degrees
Atoms (fractional coordinates):
Cd (0.000, 0.000, 0.000)
Cu (0.500, 0.500, 0.500)
Cu (0.750, 0.750, 0.750)
Br (0.250, 0.250, 0.250)

---

(8)
DFT (PBE-GGA) results for a relaxed structure of PaMn4CdS8.

Values from the calculation:
E_tot   -91.4 eV per formula unit
Crystal system   trigonal
Symmetry   R3m

Cell lengths 7.540, 7.540, 7.540 Å; angles 58.96, 58.96, 58.96 degrees
Atoms (fractional coordinates):
Pa (0.000, 0.000, 0.000)
Mn (0.507, 0.998, 0.998)
Mn (0.634, 0.634, 0.634)
Mn (0.998, 0.507, 0.998)
Mn (0.998, 0.998, 0.507)
Cd (0.364, 0.364, 0.364)
S (0.231, 0.231, 0.231)
S (0.241, 0.748, 0.748)
S (0.250, 0.250, 0.778)
S (0.250, 0.778, 0.250)
S (0.748, 0.241, 0.748)
S (0.748, 0.748, 0.241)
S (0.762, 0.762, 0.762)
S (0.778, 0.250, 0.250)

---

Number 1: total magnetic moment 0.3 μB per formula unit, DOS at the Fermi energy 14.69 states/eV per cell. Number 2: total magnetic moment 0.0 μB per formula unit, DOS at the Fermi energy 13.37 states/eV per cell. Number 3: total magnetic moment 4.3 μB per formula unit, DOS at the Fermi energy 8.87 states/eV per cell. Number 4: total magnetic moment 0.0 μB per formula unit, DOS at the Fermi energy 3.72 states/eV per cell. Number 5: total magnetic moment 1.3 μB per formula unit, DOS at the Fermi energy 4.60 states/eV per cell. Number 6: total magnetic moment 1.1 μB per formula unit, DOS at the Fermi energy 6.23 states/eV per cell. Number 7: total magnetic moment 0.0 μB per formula unit, DOS at the Fermi energy 2.87 states/eV per cell. Number 8: total magnetic moment 9.0 μB per formula unit, DOS at the Fermi energy 5.44 states/eV per cell.